Record 1
# CaC2S, relaxed, DFT PBE-GGA
# - Total magnetization: 0.0 μB/f.u.
# - Uncorrected energy: -86.88 eV for the cell shown
data_CaC2S
_cell_length_a 5.473
_cell_length_b 5.473
_cell_length_c 6.648
_cell_angle_alpha 90.00
_cell_angle_beta 90.00
_cell_angle_gamma 90.00
_symmetry_space_group_name_H-M 'I -4 2 d'
_symmetry_Int_Tables_number 122
_symmetry_space_group_name_Hall 'I -4 2bw'
loop_
_atom_site_label
_atom_site_type_symbol
_atom_site_fract_x
_atom_site_fract_y
_atom_site_fract_z
Ca1 Ca 0.000 0.000 0.000
C1 C 0.142 0.250 0.625
S1 S 0.000 0.000 0.500

---

Record 2
# Li2MgCdIn5, relaxed, DFT PBE-GGA
# - Energy relative to the elements: -38 meV per atom
# - Total magnetization: 0.0 μB/f.u.
# - Uncorrected energy: -81.47 eV for the cell shown
data_Li2MgCdIn5
_cell_length_a 6.743
_cell_length_b 6.743
_cell_length_c 18.474
_cell_angle_alpha 90.00
_cell_angle_beta 90.00
_cell_angle_gamma 90.00
_symmetry_space_group_name_H-M 'I 4/m c m'
_symmetry_Int_Tables_number 140
_symmetry_space_group_name_Hall '-I 4 2c'
loop_
_atom_site_label
_atom_site_type_symbol
_atom_site_fract_x
_atom_site_fract_y
_atom_site_fract_z
Li1 Li 0.131 0.369 0.000
Mg1 Mg 0.000 0.000 0.250
Cd1 Cd 0.000 0.500 0.250
In1 In 0.000 0.000 0.000
In2 In 0.190 0.310 0.376

---

Record 3
# YV3Hg, relaxed, DFT PBE-GGA
# - Energy relative to the elements: 1917 meV per atom
# - Relative energy among the computed polymorphs: 602 meV per atom
# - Total magnetization: 4.8 μB/f.u.
# - Uncorrected energy: -24.54 eV for the cell shown
data_YV3Hg
_cell_length_a 4.774
_cell_length_b 4.774
_cell_length_c 4.774
_cell_angle_alpha 90.00
_cell_angle_beta 90.00
_cell_angle_gamma 90.00
_symmetry_space_group_name_H-M 'P m -3 m'
_symmetry_Int_Tables_number 221
_symmetry_space_group_name_Hall '-P 4 2 3'
loop_
_atom_site_label
_atom_site_type_symbol
_atom_site_fract_x
_atom_site_fract_y
_atom_site_fract_z
Y1 Y 0.000 0.000 0.000
V1 V 0.000 0.000 0.500
Hg1 Hg 0.500 0.500 0.500

---

Record 4
# LaAs2W, relaxed, DFT PBE-GGA
# - Energy relative to the elements: -249 meV per atom
# - Relative energy among the computed polymorphs: 231 meV per atom
# - Total magnetization: 0.0 μB/f.u.
# - Uncorrected energy: -56.36 eV for the cell shown
data_LaAs2W
_cell_length_a 3.680
_cell_length_b 5.808
_cell_length_c 8.384
_cell_angle_alpha 90.00
_cell_angle_beta 90.00
_cell_angle_gamma 90.00
_symmetry_space_group_name_H-M 'I m m m'
_symmetry_Int_Tables_number 71
_symmetry_space_group_name_Hall '-I 2 2'
loop_
_atom_site_label
_atom_site_type_symbol
_atom_site_fract_x
_atom_site_fract_y
_atom_site_fract_z
La1 La 0.000 0.000 0.000
As1 As 0.000 0.500 0.209
W1 W 0.000 0.000 0.500

---

Record 5
# MnAlRe2Bi, relaxed, DFT PBE-GGA
# - Energy relative to the elements: 1475 meV per atom
# - Total magnetization: 0.0 μB/f.u.
# - Uncorrected energy: -34.31 eV for the cell shown
data_MnAlRe2Bi
_cell_length_a 4.552
_cell_length_b 4.552
_cell_length_c 4.788
_cell_angle_alpha 90.00
_cell_angle_beta 90.00
_cell_angle_gamma 90.00
_symmetry_space_group_name_H-M 'P 4/m m m'
_symmetry_Int_Tables_number 123
_symmetry_space_group_name_Hall '-P 4 2'
loop_
_atom_site_label
_atom_site_type_symbol
_atom_site_fract_x
_atom_site_fract_y
_atom_site_fract_z
Mn1 Mn 0.000 0.000 0.000
Al1 Al 0.500 0.500 0.500
Re1 Re 0.000 0.500 0.000
Bi1 Bi 0.000 0.000 0.500

---

Record 6
# BeRe2, relaxed, DFT PBE-GGA
# - Energy relative to the elements: 736 meV per atom
# - Relative energy among the computed polymorphs: 1007 meV per atom
# - Total magnetization: 0.0 μB/f.u.
# - Uncorrected energy: -26.42 eV for the cell shown
data_BeRe2
_cell_length_a 4.044
_cell_length_b 4.044
_cell_length_c 2.551
_cell_angle_alpha 90.00
_cell_angle_beta 90.00
_cell_angle_gamma 90.00
_symmetry_space_group_name_H-M 'P 4/m m m'
_symmetry_Int_Tables_number 123
_symmetry_space_group_name_Hall '-P 4 2'
loop_
_atom_site_label
_atom_site_type_symbol
_atom_site_fract_x
_atom_site_fract_y
_atom_site_fract_z
Be1 Be 0.000 0.000 0.000
Re1 Re 0.000 0.500 0.500

---

Record 7
# Mg2VRe, relaxed, DFT PBE-GGA
# - Energy relative to the elements: 688 meV per atom
# - Relative energy among the computed polymorphs: 0 meV per atom
# - Total magnetization: 1.6 μB/f.u.
# - Uncorrected energy: -88.01 eV for the cell shown
data_Mg2VRe
_cell_length_a 6.459
_cell_length_b 6.459
_cell_length_c 6.459
_cell_angle_alpha 90.00
_cell_angle_beta 90.00
_cell_angle_gamma 90.00
_symmetry_space_group_name_H-M 'F m -3 m'
_symmetry_Int_Tables_number 225
_symmetry_space_group_name_Hall '-F 4 2 3'
loop_
_atom_site_label
_atom_site_type_symbol
_atom_site_fract_x
_atom_site_fract_y
_atom_site_fract_z
Mg1 Mg 0.250 0.250 0.250
V1 V 0.000 0.000 0.000
Re1 Re 0.000 0.000 0.500

---

Record 8
# ZrAl2Hg, relaxed, DFT PBE-GGA
# - Energy relative to the elements: 57 meV per atom
# - Total magnetization: 0.0 μB/f.u.
# - Uncorrected energy: -64.43 eV for the cell shown
data_ZrAl2Hg
_cell_length_a 7.514
_cell_length_b 7.514
_cell_length_c 5.898
_cell_angle_alpha 90.00
_cell_angle_beta 90.00
_cell_angle_gamma 90.00
_symmetry_space_group_name_H-M 'I -4 2 d'
_symmetry_Int_Tables_number 122
_symmetry_space_group_name_Hall 'I -4 2bw'
loop_
_atom_site_label
_atom_site_type_symbol
_atom_site_fract_x
_atom_site_fract_y
_atom_site_fract_z
Zr1 Zr 0.000 0.000 0.000
Al1 Al 0.226 0.250 0.625
Hg1 Hg 0.000 0.000 0.500

---

The lowest uncorrected energy belongs to which entry? Mg2VRe

---

Among the records above, which one has the highest total magnetization? YV3Hg